1.
Entry from Alexandria via LeMat-Bulk: crystalline DyThSi at its relaxed geometry (PBE).

Cell lengths 4.7363, 4.7363, 4.1268 Å; angles 90.00, 90.00, 120.00 degrees
Space group P3m1 (No. 156)
One atom of each set of equivalent atoms:
Dy 0.0000 0.0000 0.0000 [1 per cell]
Th 0.6667 0.3333 0.4826 [1 per cell]
Si 0.3333 0.6667 0.8244 [1 per cell]

## Properties
Magnetic moment   0.0 μB per formula unit
Offset from the most stable computed form   17.9 kJ per mole of atoms
E_form (uncorrected)   -0.15 eV per atom

---

2.
Entry from Alexandria via LeMat-Bulk: crystalline DyThSi2 at its relaxed geometry (PBE).

Cell lengths 3.957, 4.346, 10.748 Å; angles 90.00, 90.00, 90.00 degrees
Space group Amm2 (No. 38)
One atom of each set of equivalent atoms:
Dy 0.000 0.000 0.000 [2 per cell]
Th 0.500 0.000 0.720 [2 per cell]
Si 0.000 0.000 0.286 [2 per cell]
Si 0.500 0.000 0.437 [2 per cell]

## Properties
Magnetic moment   0.0 μB per formula unit
Offset from the most stable computed form   0.0 kJ per mole of atoms
E_form (uncorrected)   -0.73 eV per atom

---

3.
Entry from Alexandria via LeMat-Bulk: crystalline DyTh3Si4 at its relaxed geometry (PBE).

Cell lengths 4.189, 6.299, 15.799 Å; angles 90.00, 90.00, 90.00 degrees
Space group Immm (No. 71)
One atom of each set of equivalent atoms:
Dy 0.000 0.000 0.000 [2 per cell]
Th 0.000 0.000 0.500 [2 per cell]
Th 0.000 0.500 0.306 [4 per cell]
Si 0.000 0.310 0.130 [8 per cell]

## Properties
Magnetic moment   0.0 μB per formula unit
E_form (uncorrected)   -0.57 eV per atom

---

4.
Entry from Alexandria via LeMat-Bulk: crystalline DyTiSi at its relaxed geometry (PBE).

Cell lengths 4.033, 4.033, 7.573 Å; angles 90.00, 90.00, 90.00 degrees
Space group P4/nmm (No. 129, origin choice 2)
One atom of each set of equivalent atoms:
Dy 0.250 0.250 0.155 [2 per cell]
Ti 0.250 0.750 0.500 [2 per cell]
Si 0.250 0.250 0.737 [2 per cell]

## Properties
Magnetic moment   0.1 μB per formula unit
E_form (uncorrected)   -0.65 eV per atom

---

5.
Entry from Alexandria via LeMat-Bulk: crystalline Dy5TlSi2 at its relaxed geometry (PBE).

Cell lengths 7.689, 7.689, 13.991 Å; angles 90.00, 90.00, 90.00 degrees
Space group I4/mcm (No. 140)
One atom of each set of equivalent atoms:
Dy 0.000 0.000 0.000 [4 per cell]
Dy 0.167 0.333 0.139 [16 per cell]
Tl 0.000 0.000 0.250 [4 per cell]
Si 0.131 0.369 0.500 [8 per cell]

## Properties
Magnetic moment   0.0 μB per formula unit
E_form (uncorrected)   -0.57 eV per atom

---

6.
Entry from Alexandria via LeMat-Bulk: crystalline Dy5Tl2Si2 at its relaxed geometry (PBE).

Cell lengths 15.863, 7.643, 7.671 Å; angles 90.00, 90.00, 90.00 degrees
Space group Cmce (No. 64)
One atom of each set of equivalent atoms:
Dy 0.000 0.000 0.000 [4 per cell]
Dy 0.124 0.182 0.323 [16 per cell]
Tl 0.221 0.000 0.000 [8 per cell]
Si 0.000 0.119 0.621 [8 per cell]

## Properties
Magnetic moment   0.0 μB per formula unit
E_form (uncorrected)   -0.55 eV per atom

---

Listing E_tot for the structures above in their given order: -5.961 -6.446 -6.641 -6.626 -5.102 -4.838 eV per atom.